No. 1
Compound: Li2PuInBr8
Source: Alexandria
Functional: PBE
Structure: optimized geometry

Output
spin magnetization: 5.00 μB/f.u.
calculated volume: 31.4 Å³ per atom
calculated density: 4457 kg/m³
D(E_F): 10.8 states/eV/cell
ΔE_f (raw): -28.5 kcal/mol of atoms

abc: 6.6444 8.3287 6.8602
angles: 90.00 96.75 90.00
Last column: nearest neighbours and their distance in Å.
Element x y z (fractional)
Li  0.0000  0.2465  0.0000  4 Br 2.70-2.72
Li  0.0000  0.7535  0.0000  4 Br 2.70-2.72
Pu  0.5000  0.5000  0.5000  6 Br 2.82-2.91
In  0.5000  0.0000  0.5000  6 Br 2.71-2.75
Br  0.2110  0.5000  0.1637  2 Li 2.70, 1 Pu 2.82
Br  0.2181  0.0000  0.1797  1 In 2.71, 2 Li 2.72
Br  0.2882  0.2370  0.6669  1 In 2.75, 1 Pu 2.91
Br  0.2882  0.7630  0.6669  1 In 2.75, 1 Pu 2.91
Br  0.7118  0.2370  0.3331  1 In 2.75, 1 Pu 2.91
Br  0.7118  0.7630  0.3331  1 In 2.75, 1 Pu 2.91
Br  0.7819  0.0000  0.8203  1 In 2.71, 2 Li 2.72
Br  0.7890  0.5000  0.8363  2 Li 2.70, 1 Pu 2.82

No. 2
Compound: Rb2LiInBr4
Source: Alexandria
Functional: PBE
Structure: optimized geometry

Output
spin magnetization: 0.00 μB/f.u.
calculated volume: 36.4 Å³ per atom
calculated density: 3496 kg/m³
D(E_F): 0.0 states/eV/cell
ΔE_f (raw): -31.2 kcal/mol of atoms

abc: 9.3376 9.3376 9.3540
angles: 119.99 119.99 89.01
Last column: nearest neighbours and their distance in Å.
Element x y z (fractional)
Rb  0.0000  0.0000  0.0000  6 Br 3.32-3.41
Rb  0.0000  0.0000  0.5000  6 Br 3.32-3.41
Rb  0.0000  0.5000  0.0000  6 Br 3.47-3.79
Rb  0.5000  0.0000  0.5000  6 Br 3.47-3.79
Li  0.0000  0.5000  0.5000  2 Br 2.76
Li  0.5000  0.0000  0.0000  2 Br 2.76
In  0.5000  0.5000  0.0000  6 Br 3.23-3.34
In  0.5000  0.5000  0.5000  6 Br 3.23-3.34
Br  0.2159  0.2944  0.5052  1 Li 2.76
Br  0.2521  0.7454  0.5195  2 Li 3.19-3.21, 1 In 3.23, 3 Rb 3.32-3.48
Br  0.2546  0.7479  0.9805  2 Li 3.19-3.21, 1 In 3.23, 3 Rb 3.32-3.48
Br  0.2944  0.2159  0.0052  1 Li 2.76
Br  0.7056  0.7841  0.9948  1 Li 2.76
Br  0.7454  0.2521  0.0195  2 Li 3.19-3.21, 1 In 3.23, 3 Rb 3.32-3.48
Br  0.7479  0.2546  0.4805  2 Li 3.19-3.21, 1 In 3.23, 3 Rb 3.32-3.48
Br  0.7841  0.7056  0.4948  1 Li 2.76

> Which value of calculated volume does entry 1 give?

31.4 Å³ per atom

> Which of these has the highest spin magnetization?

Li2PuInBr8

Please write out number 2 again, unchanged.
Compound: Rb2LiInBr4
Source: Alexandria
Functional: PBE
Structure: optimized geometry

Output
spin magnetization: 0.00 μB/f.u.
calculated volume: 36.4 Å³ per atom
calculated density: 3496 kg/m³
D(E_F): 0.0 states/eV/cell
ΔE_f (raw): -31.2 kcal/mol of atoms

abc: 9.3376 9.3376 9.3540
angles: 119.99 119.99 89.01
Last column: nearest neighbours and their distance in Å.
Element x y z (fractional)
Rb  0.0000  0.0000  0.0000  6 Br 3.32-3.41
Rb  0.0000  0.0000  0.5000  6 Br 3.32-3.41
Rb  0.0000  0.5000  0.0000  6 Br 3.47-3.79
Rb  0.5000  0.0000  0.5000  6 Br 3.47-3.79
Li  0.0000  0.5000  0.5000  2 Br 2.76
Li  0.5000  0.0000  0.0000  2 Br 2.76
In  0.5000  0.5000  0.0000  6 Br 3.23-3.34
In  0.5000  0.5000  0.5000  6 Br 3.23-3.34
Br  0.2159  0.2944  0.5052  1 Li 2.76
Br  0.2521  0.7454  0.5195  2 Li 3.19-3.21, 1 In 3.23, 3 Rb 3.32-3.48
Br  0.2546  0.7479  0.9805  2 Li 3.19-3.21, 1 In 3.23, 3 Rb 3.32-3.48
Br  0.2944  0.2159  0.0052  1 Li 2.76
Br  0.7056  0.7841  0.9948  1 Li 2.76
Br  0.7454  0.2521  0.0195  2 Li 3.19-3.21, 1 In 3.23, 3 Rb 3.32-3.48
Br  0.7479  0.2546  0.4805  2 Li 3.19-3.21, 1 In 3.23, 3 Rb 3.32-3.48
Br  0.7841  0.7056  0.4948  1 Li 2.76

> Look up the D(E_F) of the first one.

10.8 states/eV/cell